1.
Material: Dy2SbTe4
Method: DFT, PBE
State: optimized geometry

The structure in extended XYZ format:
```
7
Lattice="4.2891 0.0000 0.0000 0.0000 7.6388 -0.1141 -2.1445 -3.8381 7.4713" Properties=species:S:1:pos:R:3 pbc="T T T"
Te 0.0000 5.1080 1.7178
Te 0.0000 2.5471 5.3506
Te 2.1445 -1.3072 5.6393
Te 2.1445 1.2536 2.0066
Dy 0.0000 -0.1629 3.8265
Dy 2.1445 3.9636 3.5306
Sb 0.0000 0.0000 0.0000
```

Summary:
Electronic total energy: -32.18 eV per cell

=====

2.
Material: CaScFe4
Method: DFT, PBE
State: optimized geometry

The structure in extended XYZ format:
```
6
Lattice="4.1259 -2.8060 0.4698 0.3822 -3.2829 3.7675 -0.1959 -4.9201 -0.9339" Properties=species:S:1:pos:R:3 pbc="T T T"
Fe 1.6182 -4.1313 1.2396
Fe 1.5205 -6.5862 0.7737
Fe 3.6768 -5.5314 1.4741
Fe 1.8089 -5.7693 3.1194
Ca 0.0000 0.0000 0.0000
Sc 3.2342 -8.2568 2.4775
```

Summary:
ΔE_f: 5.33 kJ/mol of atoms
Electronic total energy: -41.85 eV per cell

=====

3.
Material: Dy12In6Hg
Method: DFT, PBE
State: optimized geometry

The structure in extended XYZ format:
```
19
Lattice="-5.1603 5.1924 5.0084 4.8924 -4.0064 6.2198 5.8025 5.9274 -3.1415" Properties=species:S:1:pos:R:3 pbc="T T T"
Dy 3.9394 6.1139 3.0187
Dy 0.4251 4.7259 2.5910
Dy 5.1097 2.3875 5.4957
Dy 4.0962 7.0407 -1.0050
Dy 1.1092 4.5543 6.3276
Dy -0.6597 8.6976 2.9408
Dy -2.9721 3.9495 6.5520
Dy 8.5069 3.1639 1.5347
Dy 1.4385 0.0727 9.0916
Dy 4.4255 2.5591 1.7590
Dy 1.5953 0.9995 5.0679
Dy 6.1944 -1.5842 5.1459
In 2.6795 4.6991 0.4451
In -0.8949 2.7975 4.5643
In 6.4296 4.3159 3.5224
In 4.0877 0.0506 3.5704
In 2.8552 2.4143 7.6415
In 1.4471 7.0628 4.5162
Hg 0.0000 0.0000 0.0000
```

Summary:
ΔE_f: -1.82 kJ/mol of atoms
Electronic total energy: -72.32 eV per cell

=====

4.
Material: HfTi4Al5
Method: DFT, PBE
State: optimized geometry

The structure in extended XYZ format:
```
10
Lattice="3.3586 0.0000 0.0000 0.0000 3.3586 0.0000 0.0000 0.0000 14.8425" Properties=species:S:1:pos:R:3 pbc="T T T"
Ti 0.0000 0.0000 5.9798
Ti 0.0000 0.0000 8.8627
Ti 0.0000 0.0000 11.7302
Ti 0.0000 0.0000 3.1123
Al 1.6793 1.6793 10.3060
Al 1.6793 1.6793 1.7037
Al 1.6793 1.6793 7.4213
Al 1.6793 1.6793 4.5366
Al 1.6793 1.6793 13.1388
Hf 0.0000 0.0000 0.0000
```

Summary:
ΔE_f: -25.45 kJ/mol of atoms
Electronic total energy: -62.88 eV per cell
Relative energy among the computed polymorphs: 0.0000 eV/atom